The following is a PBE calculation of crystalline TaCrIn2 at its relaxed geometry, from Alexandria via LeMat-Bulk.

Properties
Crystal system: trigonal
Uncorrected energy (eV per atom): -6.3498
Magnetization (μB/atom): 0.7567

```
data_TaCrIn2
_chemical_formula_sum 'Ta3 Cr3 In6'
_space_group_name_H-M_alt 'R 3 m'
_space_group_IT_number 160
_space_group_name_Hall 'R 3 -2"'
_cell_length_a 3.0933
_cell_length_b 3.0933
_cell_length_c 29.0379
_cell_angle_alpha 90.00
_cell_angle_beta 90.00
_cell_angle_gamma 120.00
loop_
_atom_site_label
_atom_site_type_symbol
_atom_site_fract_x
_atom_site_fract_y
_atom_site_fract_z
Ta1 Ta 0.0000 0.0000 0.0000
Cr1 Cr 0.0000 0.0000 0.2627
In1 In 0.0000 0.0000 0.5153
In2 In 0.0000 0.0000 0.7529
```